[1]
# Ba2PaBe2P4 PBE relaxed
data_Ba2PaBe2P4
_chemical_formula_sum 'Ba2 Pa1 Be2 P4'
_space_group_name_H-M_alt 'P 1'
_space_group_IT_number 1
_space_group_name_Hall 'P 1'
_cell_length_a 7.5822
_cell_length_b 7.5822
_cell_length_c 7.5040
_cell_angle_alpha 109.73
_cell_angle_beta 109.73
_cell_angle_gamma 30.37
loop_
_atom_site_label
_atom_site_fract_x
_atom_site_fract_y
_atom_site_fract_z
Ba1 0.1364 0.1364 0.0764
Ba2 0.8636 0.8636 0.9236
Pa1 0.0000 0.0000 0.5000
Be1 0.3271 0.3271 0.5221
Be2 0.6729 0.6729 0.4779
P1 0.2028 0.2028 0.6446
P2 0.4767 0.4767 0.7388
P3 0.5233 0.5233 0.2612
P4 0.7972 0.7972 0.3554
# energy relative to the elements = -7.86 eV/f.u.
# DOS at the Fermi energy = 0.450 states/eV/atom
# volume = 22.71 A^3/atom
# total DFT energy (no corrections) = -5.59 eV per atom

[2]
# Li7CdHg4 PBE relaxed
data_Li7CdHg4
_chemical_formula_sum 'Li7 Cd1 Hg4'
_space_group_name_H-M_alt 'P 1'
_space_group_IT_number 1
_space_group_name_Hall 'P 1'
_cell_length_a 7.1001
_cell_length_b 7.1001
_cell_length_c 8.2407
_cell_angle_alpha 118.88
_cell_angle_beta 118.88
_cell_angle_gamma 41.65
loop_
_atom_site_label
_atom_site_fract_x
_atom_site_fract_y
_atom_site_fract_z
Li1 0.0000 0.0000 0.0000
Li2 0.2557 0.2557 0.7151
Li3 0.3023 0.3023 0.1184
Li4 0.4280 0.4280 0.5904
Li5 0.5720 0.5720 0.4096
Li6 0.6977 0.6977 0.8816
Li7 0.7443 0.7443 0.2849
Cd1 0.5000 0.5000 0.0000
Hg1 0.0624 0.0624 0.7284
Hg2 0.1903 0.1903 0.3414
Hg3 0.8097 0.8097 0.6586
Hg4 0.9376 0.9376 0.2716
# energy relative to the elements = -2.70 eV/f.u.
# DOS at the Fermi energy = 0.303 states/eV/atom
# volume = 19.70 A^3/atom
# total DFT energy (no corrections) = -1.52 eV per atom

[3]
# La2NbMo2 PBE relaxed
data_La2NbMo2
_chemical_formula_sum 'La4 Nb2 Mo4'
_space_group_name_H-M_alt 'P 1'
_space_group_IT_number 1
_space_group_name_Hall 'P 1'
_cell_length_a 6.7596
_cell_length_b 6.7596
_cell_length_c 5.2666
_cell_angle_alpha 90.00
_cell_angle_beta 90.00
_cell_angle_gamma 90.00
loop_
_atom_site_label
_atom_site_fract_x
_atom_site_fract_y
_atom_site_fract_z
La1 0.1761 0.3239 0.0000
La2 0.3239 0.8239 0.0000
La3 0.6761 0.1761 0.0000
La4 0.8239 0.6761 0.0000
Nb1 0.0000 0.0000 0.5000
Nb2 0.5000 0.5000 0.5000
Mo1 0.1293 0.6293 0.5000
Mo2 0.3707 0.1293 0.5000
Mo3 0.6293 0.8707 0.5000
Mo4 0.8707 0.3707 0.5000
# energy relative to the elements = 2.14 eV/f.u.
# DOS at the Fermi energy = 1.351 states/eV/atom
# volume = 24.06 A^3/atom
# total DFT energy (no corrections) = -7.89 eV per atom